(1)
First-principles (PBE-GGA) data for TbY3Pt8 after structural relaxation, as listed in the Alexandria database.

Calculated values
formation energy = -1.061 eV per atom
total DFT energy (no corrections) = -7.091 eV per atom

Cell and atoms, written as CIF:
```
data_TbY3Pt8
_space_group_name_H-M_alt 'P 3 m 1'
_space_group_IT_number 156
_cell_length_a 5.4603
_cell_length_b 5.4603
_cell_length_c 8.8897
_cell_angle_alpha 90.00
_cell_angle_beta 90.00
_cell_angle_gamma 120.00
loop_
_space_group_symop_operation_xyz
'x,y,z'
'-y,x-y,z'
'-x+y,-x,z'
'-y,-x,z'
'-x+y,y,z'
'x,x-y,z'
loop_
_atom_site_label
_atom_site_type_symbol
_atom_site_fract_x
_atom_site_fract_y
_atom_site_fract_z
Tb1 Tb 0.0000 0.0000 0.0000
Y1 Y 0.0000 0.0000 0.3703
Y2 Y 0.6667 0.3333 0.4999
Y3 Y 0.6667 0.3333 0.8700
Pt1 Pt 0.1643 0.3285 0.6852
Pt2 Pt 0.3333 0.6667 0.4351
Pt3 Pt 0.3333 0.6667 0.9351
Pt4 Pt 0.5024 0.0048 0.1851
```

=====

(2)
First-principles (PBE-GGA) data for Mg2PtCl after structural relaxation, as listed in the Alexandria database.

Calculated values
energy relative to the elements, uncorrected = -2.08 eV per formula unit
total DFT energy (no corrections) = -3.290 eV per atom
distance to the lowest polymorph of the same formula = 474 meV/atom

Cell and atoms, written as CIF:
```
data_Mg2PtCl
_space_group_name_H-M_alt 'I -4 m 2'
_space_group_IT_number 119
_space_group_name_Hall 'I -4 -2'
_cell_length_a 3.730
_cell_length_b 3.730
_cell_length_c 11.348
_cell_angle_alpha 90.00
_cell_angle_beta 90.00
_cell_angle_gamma 90.00
loop_
_atom_site_label
_atom_site_type_symbol
_atom_site_fract_x
_atom_site_fract_y
_atom_site_fract_z
Mg1 Mg 0.000 0.000 0.000
Mg2 Mg 0.000 0.500 0.250
Pt1 Pt 0.000 0.500 0.750
Cl1 Cl 0.000 0.000 0.500
```

=====

(3)
First-principles (PBE-GGA) data for PmVSi after structural relaxation, as listed in the Alexandria database.

Calculated values
energy relative to the elements, uncorrected = -0.60 eV per formula unit
total DFT energy (no corrections) = -6.631 eV per atom
distance to the lowest polymorph of the same formula = 135 meV/atom

Cell and atoms, written as CIF:
```
data_PmVSi
_space_group_name_H-M_alt 'P -6 m 2'
_space_group_IT_number 187
_space_group_name_Hall 'P -6 2'
_cell_length_a 4.3282
_cell_length_b 4.3282
_cell_length_c 3.9743
_cell_angle_alpha 90.00
_cell_angle_beta 90.00
_cell_angle_gamma 120.00
loop_
_atom_site_label
_atom_site_type_symbol
_atom_site_fract_x
_atom_site_fract_y
_atom_site_fract_z
Pm1 Pm 0.0000 0.0000 0.0000
V1 V 0.3333 0.6667 0.5000
Si1 Si 0.6667 0.3333 0.5000
```

=====

(4)
First-principles (PBE-GGA) data for NiSbMo2Pd after structural relaxation, as listed in the Alexandria database.

Calculated values
energy relative to the elements, uncorrected = 9.41 eV per formula unit
total DFT energy (no corrections) = -5.470 eV per atom

Cell and atoms, written as CIF:
```
data_NiSbMo2Pd
_space_group_name_H-M_alt 'P 4/m m m'
_space_group_IT_number 123
_space_group_name_Hall '-P 4 2'
_cell_length_a 4.851
_cell_length_b 4.851
_cell_length_c 4.842
_cell_angle_alpha 90.00
_cell_angle_beta 90.00
_cell_angle_gamma 90.00
loop_
_atom_site_label
_atom_site_type_symbol
_atom_site_fract_x
_atom_site_fract_y
_atom_site_fract_z
Ni1 Ni 0.000 0.000 0.000
Sb1 Sb 0.500 0.500 0.000
Mo1 Mo 0.000 0.500 0.500
Pd1 Pd 0.500 0.500 0.500
```

=====

(5)
First-principles (PBE-GGA) data for Cs2Ac2ZrSe6 after structural relaxation, as listed in the Alexandria database.

Calculated values
energy relative to the elements, uncorrected = -18.24 eV per formula unit
total DFT energy (no corrections) = -5.239 eV per atom

Cell and atoms, written as CIF:
```
data_Cs2Ac2ZrSe6
_space_group_name_H-M_alt 'C 1 2/m 1'
_space_group_IT_number 12
_cell_length_a 7.662
_cell_length_b 13.038
_cell_length_c 8.944
_cell_angle_alpha 90.00
_cell_angle_beta 106.86
_cell_angle_gamma 90.00
loop_
_space_group_symop_operation_xyz
'x,y,z'
'-x,-y,-z'
'-x,y,-z'
'x,-y,z'
'x+1/2,y+1/2,z'
'-x+1/2,-y+1/2,-z'
'-x+1/2,y+1/2,-z'
'x+1/2,-y+1/2,z'
loop_
_atom_site_label
_atom_site_type_symbol
_atom_site_fract_x
_atom_site_fract_y
_atom_site_fract_z
Cs1 Cs 0.000 0.172 0.000
Ac1 Ac 0.000 0.334 0.500
Zr1 Zr 0.000 0.000 0.500
Se1 Se 0.213 0.150 0.686
Se2 Se 0.231 0.000 0.315
```

=====

(6)
First-principles (PBE-GGA) data for Sc2NiHPb after structural relaxation, as listed in the Alexandria database.

Calculated values
total DFT energy (no corrections) = -5.462 eV per atom

Cell and atoms, written as CIF:
```
data_Sc2NiHPb
_space_group_name_H-M_alt 'P 4/m m m'
_space_group_IT_number 123
_space_group_name_Hall '-P 4 2'
_cell_length_a 4.571
_cell_length_b 4.571
_cell_length_c 3.857
_cell_angle_alpha 90.00
_cell_angle_beta 90.00
_cell_angle_gamma 90.00
loop_
_atom_site_label
_atom_site_type_symbol
_atom_site_fract_x
_atom_site_fract_y
_atom_site_fract_z
Sc1 Sc 0.000 0.500 0.000
Ni1 Ni 0.000 0.000 0.500
H1 H 0.000 0.000 0.000
Pb1 Pb 0.500 0.500 0.500
```

=====

(7)
First-principles (PBE-GGA) data for Sc6Cu2Pb after structural relaxation, as listed in the Alexandria database.

Calculated values
formation energy = -0.232 eV per atom
total DFT energy (no corrections) = -5.775 eV per atom

Cell and atoms, written as CIF:
```
data_Sc6Cu2Pb
_space_group_name_H-M_alt 'I m m m'
_space_group_IT_number 71
_space_group_name_Hall '-I 2 2'
_cell_length_a 8.942
_cell_length_b 9.148
_cell_length_c 9.587
_cell_angle_alpha 90.00
_cell_angle_beta 90.00
_cell_angle_gamma 90.00
loop_
_atom_site_label
_atom_site_type_symbol
_atom_site_fract_x
_atom_site_fract_y
_atom_site_fract_z
Sc1 Sc 0.000 0.214 0.235
Sc2 Sc 0.203 0.500 0.182
Sc3 Sc 0.213 0.312 0.500
Cu1 Cu 0.000 0.360 0.000
Cu2 Cu 0.000 0.500 0.375
Pb1 Pb 0.000 0.000 0.000
Pb2 Pb 0.000 0.000 0.500
```

=====

(8)
First-principles (PBE-GGA) data for TbPrHgPb after structural relaxation, as listed in the Alexandria database.

Calculated values
formation energy = -0.483 eV per atom
total DFT energy (no corrections) = -3.838 eV per atom

Cell and atoms, written as CIF:
```
data_TbPrHgPb
_space_group_name_H-M_alt 'F -4 3 m'
_space_group_IT_number 216
_space_group_name_Hall 'F -4 2 3'
_cell_length_a 7.705
_cell_length_b 7.705
_cell_length_c 7.705
_cell_angle_alpha 90.00
_cell_angle_beta 90.00
_cell_angle_gamma 90.00
loop_
_atom_site_label
_atom_site_type_symbol
_atom_site_fract_x
_atom_site_fract_y
_atom_site_fract_z
Tb1 Tb 0.000 0.000 0.000
Pr1 Pr 0.000 0.000 0.500
Hg1 Hg 0.250 0.250 0.250
Pb1 Pb 0.250 0.250 0.750
```

=====

(9)
First-principles (PBE-GGA) data for K3PaTe2O9 after structural relaxation, as listed in the Alexandria database.

Calculated values
energy relative to the elements, uncorrected = -28.66 eV per formula unit
total DFT energy (no corrections) = -6.157 eV per atom

Cell and atoms, written as CIF:
```
data_K3PaTe2O9
_space_group_name_H-M_alt 'P -3 m 1'
_space_group_IT_number 164
_space_group_name_Hall '-P 3 2"'
_cell_length_a 5.9573
_cell_length_b 5.9573
_cell_length_c 7.2733
_cell_angle_alpha 90.00
_cell_angle_beta 90.00
_cell_angle_gamma 120.00
loop_
_atom_site_label
_atom_site_type_symbol
_atom_site_fract_x
_atom_site_fract_y
_atom_site_fract_z
K1 K 0.0000 0.0000 0.0000
K2 K 0.3333 0.6667 0.6769
Pa1 Pa 0.0000 0.0000 0.5000
Te1 Te 0.3333 0.6667 0.1617
O1 O 0.0000 0.5000 0.0000
O2 O 0.1737 0.3474 0.3300
```

=====

(10)
First-principles (PBE-GGA) data for CaCo3As3 after structural relaxation, as listed in the Alexandria database.

Calculated values
formation energy = -0.393 eV per atom
total DFT energy (no corrections) = -5.717 eV per atom

Cell and atoms, written as CIF:
```
data_CaCo3As3
_space_group_name_H-M_alt 'R -3'
_space_group_IT_number 148
_space_group_name_Hall '-R 3'
_cell_length_a 6.5925
_cell_length_b 6.5925
_cell_length_c 20.4870
_cell_angle_alpha 90.00
_cell_angle_beta 90.00
_cell_angle_gamma 120.00
loop_
_atom_site_label
_atom_site_type_symbol
_atom_site_fract_x
_atom_site_fract_y
_atom_site_fract_z
Ca1 Ca 0.0000 0.0000 0.1677
Co1 Co 0.0079 0.3553 0.3735
As1 As 0.0073 0.3122 0.5943
```

=====

(11)
First-principles (PBE-GGA) data for ZnCoTe2 after structural relaxation, as listed in the Alexandria database.

Calculated values
energy relative to the elements, uncorrected = -0.30 eV per formula unit
total DFT energy (no corrections) = -3.741 eV per atom

Cell and atoms, written as CIF:
```
data_ZnCoTe2
_space_group_name_H-M_alt 'I -4 2 d'
_space_group_IT_number 122
_space_group_name_Hall 'I -4 2bw'
_cell_length_a 6.013
_cell_length_b 6.013
_cell_length_c 11.984
_cell_angle_alpha 90.00
_cell_angle_beta 90.00
_cell_angle_gamma 90.00
loop_
_atom_site_label
_atom_site_type_symbol
_atom_site_fract_x
_atom_site_fract_y
_atom_site_fract_z
Zn1 Zn 0.000 0.000 0.000
Co1 Co 0.000 0.000 0.500
Te1 Te 0.229 0.250 0.625
```

=====

(12)
First-principles (PBE-GGA) data for Nd4RhSe3 after structural relaxation, as listed in the Alexandria database.

Calculated values
energy relative to the elements, uncorrected = -12.20 eV per formula unit
total DFT energy (no corrections) = -6.134 eV per atom

Cell and atoms, written as CIF:
```
data_Nd4RhSe3
_space_group_name_H-M_alt 'C m m m'
_space_group_IT_number 65
_space_group_name_Hall '-C 2 2'
_cell_length_a 8.604
_cell_length_b 12.040
_cell_length_c 4.156
_cell_angle_alpha 90.00
_cell_angle_beta 90.00
_cell_angle_gamma 90.00
loop_
_atom_site_label
_atom_site_type_symbol
_atom_site_fract_x
_atom_site_fract_y
_atom_site_fract_z
Nd1 Nd 0.000 0.245 0.000
Nd2 Nd 0.231 0.000 0.500
Rh1 Rh 0.000 0.000 0.000
Se1 Se 0.000 0.500 0.000
Se2 Se 0.250 0.250 0.500
```